DFT (PBE) results for crystalline DyYSn2Pd4 at its relaxed geometry.

Summary:
* raw total energy: -46.90 eV/cell
* space-group type: P-6m2
* crystal system: hexagonal

abc: 4.5856 4.5856 8.9581
angles: 90.00 90.00 120.00
Closest atoms and distances in Å follow each position.
Element x y z (fractional)
Dy 0.3333 0.6667 0.0000  8 Pd 3.00-3.02
Y 0.0000 0.0000 0.5000  8 Pd 3.02-3.03
Pd 0.3333 0.6667 0.6653  3 Sn 2.75, 4 Pd 2.96-3.06, 1 Dy 3.00, 3 Y 3.03
Pd 0.0000 0.0000 0.1632  3 Sn 2.76, 4 Pd 2.92-3.06, 1 Y 3.02, 3 Dy 3.02
Pd 0.0000 0.0000 0.8368  3 Sn 2.76, 4 Pd 2.92-3.06, 1 Y 3.02, 3 Dy 3.02
Sn 0.6667 0.3333 0.7496  6 Pd 2.75-2.76
Sn 0.6667 0.3333 0.2504  6 Pd 2.75-2.76
Pd 0.3333 0.6667 0.3347  3 Sn 2.75, 4 Pd 2.96-3.06, 1 Dy 3.00, 3 Y 3.03


DFT (PBE) results for crystalline DyY2Sn4Pd4 at its relaxed geometry.

Summary:
* raw total energy: -63.33 eV/cell
* space-group type: Immm
* crystal system: orthorhombic

abc: 8.5132 8.5132 8.5132
angles: 149.99 128.56 60.70
Closest atoms and distances in Å follow each position.
Element x y z (fractional)
Sn 0.6984 0.5000 0.1984  2 Pd 2.71, 1 Sn 2.93
Y 0.6284 0.1284 0.5000  6 Sn 3.19-3.25, 6 Pd 3.20-3.22
Pd 0.9758 0.6771 0.2987  4 Sn 2.71-2.72, 1 Pd 2.98
Y 0.3716 0.8716 0.5000  6 Sn 3.19-3.25, 6 Pd 3.20-3.22
Sn 0.2145 0.2145 0.0000  6 Pd 2.72
Pd 0.6215 0.3229 0.2987  4 Sn 2.71-2.72, 1 Pd 2.98
Pd 0.3785 0.6771 0.7013  4 Sn 2.71-2.72, 1 Pd 2.98
Pd 0.0242 0.3229 0.7013  4 Sn 2.71-2.72, 1 Pd 2.98
Sn 0.7855 0.7855 0.0000  6 Pd 2.72
Dy 0.0000 0.0000 0.0000  6 Sn 3.13-3.15
Sn 0.3016 0.5000 0.8016  2 Pd 2.71, 1 Sn 2.93


DFT (PBE) results for crystalline DyZn2SnPd4 at its relaxed geometry.

Summary:
* raw total energy: -36.77 eV/cell
* space-group type: P4/mmm
* crystal system: tetragonal

abc: 4.6363 4.6363 6.4334
angles: 90.00 90.00 90.00
Closest atoms and distances in Å follow each position.
Element x y z (fractional)
Pd 0.0000 0.5000 0.2659  2 Sn 2.76, 4 Zn 2.76-2.88, 2 Dy 2.88, 1 Pd 3.01
Pd 0.5000 0.0000 0.7341  2 Sn 2.76, 4 Zn 2.76-2.88, 2 Dy 2.88, 1 Pd 3.01
Pd 0.0000 0.5000 0.7341  2 Sn 2.76, 4 Zn 2.76-2.88, 2 Dy 2.88, 1 Pd 3.01
Zn 0.5000 0.5000 0.5000  8 Pd 2.76
Sn 0.0000 0.0000 0.5000  8 Pd 2.76
Zn 0.0000 0.0000 0.0000  8 Pd 2.88, 2 Sn 3.22
Dy 0.5000 0.5000 0.0000  8 Pd 2.88, 2 Zn 3.22
Pd 0.5000 0.0000 0.2659  2 Sn 2.76, 4 Zn 2.76-2.88, 2 Dy 2.88, 1 Pd 3.01


DFT (PBE) results for crystalline Dy2ZnSnPd4 at its relaxed geometry.

Summary:
* raw total energy: -41.57 eV/cell
* space-group type: P4/mmm
* crystal system: tetragonal

abc: 4.7517 4.7517 6.7058
angles: 90.00 90.00 90.00
Closest atoms and distances in Å follow each position.
Element x y z (fractional)
Dy 0.0000 0.0000 0.5000  8 Pd 2.88
Pd 0.0000 0.5000 0.7426  4 Dy 2.88-2.94, 2 Zn 2.88, 2 Sn 2.94
Pd 0.5000 0.0000 0.2574  4 Dy 2.88-2.94, 2 Zn 2.88, 2 Sn 2.94
Pd 0.0000 0.5000 0.2574  4 Dy 2.88-2.94, 2 Zn 2.88, 2 Sn 2.94
Pd 0.5000 0.0000 0.7426  4 Dy 2.88-2.94, 2 Zn 2.88, 2 Sn 2.94
Sn 0.0000 0.0000 0.0000  8 Pd 2.94
Zn 0.5000 0.5000 0.5000  8 Pd 2.88
Dy 0.5000 0.5000 0.0000  8 Pd 2.94


DFT (PBE) results for crystalline SrDyPd at its relaxed geometry.

Summary:
* raw total energy: -12.44 eV/cell
* space-group type: F-43m
* crystal system: cubic

abc: 5.0482 5.0482 5.0482
angles: 60.00 60.00 60.00
Closest atoms and distances in Å follow each position.
Element x y z (fractional)
Pd 0.0000 0.0000 0.0000  4 Dy 3.09, 4 Sr 3.09
Sr 0.7500 0.7500 0.7500  4 Pd 3.09
Dy 0.2500 0.2500 0.2500  4 Pd 3.09


DFT (PBE) results for crystalline TbDyPd6 at its relaxed geometry.

Summary:
* formation energy: -0.890 eV per atom
* raw total energy: -47.40 eV/cell
* space-group type: P4/mmm
* crystal system: tetragonal

abc: 4.1152 4.1152 8.2270
angles: 90.00 90.00 90.00
Closest atoms and distances in Å follow each position.
Element x y z (fractional)
Pd 0.0000 0.5000 0.7508  2 Dy 2.90, 8 Pd 2.90-2.91, 2 Tb 2.91
Pd 0.0000 0.5000 0.2492  2 Dy 2.90, 8 Pd 2.90-2.91, 2 Tb 2.91
Pd 0.5000 0.5000 0.0000  8 Pd 2.90, 4 Dy 2.91
Pd 0.5000 0.5000 0.5000  4 Tb 2.91, 8 Pd 2.91
Pd 0.5000 0.0000 0.2492  2 Dy 2.90, 8 Pd 2.90-2.91, 2 Tb 2.91
Tb 0.0000 0.0000 0.5000  12 Pd 2.91
Pd 0.5000 0.0000 0.7508  2 Dy 2.90, 8 Pd 2.90-2.91, 2 Tb 2.91
Dy 0.0000 0.0000 0.0000  12 Pd 2.90-2.91


DFT (PBE) results for crystalline TbDyPd at its relaxed geometry.

Summary:
* formation energy: -0.472 eV per atom
* energy above the most stable polymorph in this dataset: 0 meV per atom
* raw total energy: -15.82 eV/cell
* space-group type: F-43m
* crystal system: cubic

abc: 4.8764 4.8764 4.8764
angles: 60.00 60.00 60.00
Closest atoms and distances in Å follow each position.
Element x y z (fractional)
Tb 0.7500 0.7500 0.7500  4 Pd 2.99
Dy 0.2500 0.2500 0.2500  4 Pd 2.99
Pd 0.0000 0.0000 0.0000  4 Tb 2.99, 4 Dy 2.99


DFT (PBE) results for crystalline TbDyPd3 at its relaxed geometry.

Summary:
* formation energy: -0.566 eV per atom
* raw total energy: -55.17 eV/cell
* space-group type: P-6c2
* crystal system: hexagonal

abc: 6.7859 6.1449 6.1449
angles: 59.99 90.00 90.00
Closest atoms and distances in Å follow each position.
Element x y z (fractional)
Pd 0.2500 0.6618 0.4114  2 Pd 2.74, 2 Dy 2.86, 2 Tb 2.89
Pd 0.2500 0.4114 0.9267  2 Pd 2.74, 2 Dy 2.86, 2 Tb 2.89
Dy 0.5000 0.3333 0.3333  6 Pd 2.86
Pd 0.2500 0.9266 0.6619  2 Pd 2.74, 2 Dy 2.86, 2 Tb 2.89
Pd 0.7500 0.9267 0.4114  2 Pd 2.74, 2 Dy 2.86, 2 Tb 2.89
Tb 0.5000 0.0000 0.0000  6 Pd 2.89
Dy 0.0000 0.3333 0.3333  6 Pd 2.86
Pd 0.7500 0.6619 0.9266  2 Pd 2.74, 2 Dy 2.86, 2 Tb 2.89
Pd 0.7500 0.4114 0.6618  2 Pd 2.74, 2 Dy 2.86, 2 Tb 2.89
Tb 0.0000 0.0000 0.0000  6 Pd 2.89


DFT (PBE) results for crystalline TbDy3Pd4 at its relaxed geometry.

Summary:
* formation energy: -0.922 eV per atom
* raw total energy: -46.51 eV/cell
* space-group type: Pm
* crystal system: monoclinic

abc: 5.6790 4.4675 6.9488
angles: 90.00 90.09 90.00
Closest atoms and distances in Å follow each position.
Element x y z (fractional)
Pd 0.8454 0.0000 0.4585  2 Pd 2.90, 2 Tb 2.93-3.07, 5 Dy 2.95-3.01
Tb 0.3581 0.0000 0.3180  7 Pd 2.93-3.07
Pd 0.1540 0.5000 0.5437  2 Pd 2.90, 5 Dy 2.93-3.06, 2 Tb 2.97
Dy 0.1415 0.0000 0.8183  7 Pd 2.93-3.07
Dy 0.8585 0.5000 0.1818  7 Pd 2.94-3.07
Pd 0.3455 0.5000 0.0401  2 Pd 2.90, 5 Dy 2.94-3.07, 2 Tb 2.95
Pd 0.6552 0.0000 0.9576  2 Pd 2.90, 6 Dy 2.93-3.07, 1 Tb 3.02
Dy 0.6420 0.5000 0.6821  7 Pd 2.93-3.06


DFT (PBE) results for crystalline TbDy2TmPd4 at its relaxed geometry.

Summary:
* formation energy: -0.903 eV per atom
* raw total energy: -46.24 eV/cell
* space-group type: P4/mmm
* crystal system: tetragonal

abc: 4.9342 4.9342 6.9694
angles: 90.00 90.00 90.00
Closest atoms and distances in Å follow each position.
Element x y z (fractional)
Pd 0.0000 0.5000 0.7513  2 Tm 3.02, 4 Dy 3.02-3.03, 2 Tb 3.03
Pd 0.5000 0.0000 0.7513  2 Tm 3.02, 4 Dy 3.02-3.03, 2 Tb 3.03
Dy 0.5000 0.5000 0.5000  8 Pd 3.03
Tm 0.5000 0.5000 0.0000  8 Pd 3.02
Pd 0.0000 0.5000 0.2487  4 Dy 3.02-3.03, 2 Tm 3.02, 2 Tb 3.03
Dy 0.0000 0.0000 0.0000  8 Pd 3.02
Pd 0.5000 0.0000 0.2487  4 Dy 3.02-3.03, 2 Tm 3.02, 2 Tb 3.03
Tb 0.0000 0.0000 0.5000  8 Pd 3.03


DFT (PBE) results for crystalline Dy7Te2Pd2 at its relaxed geometry.

Summary:
* raw total energy: -58.16 eV/cell
* space-group type: Imm2
* crystal system: orthorhombic

abc: 9.4597 9.4597 9.4597
angles: 155.95 66.61 118.93
Closest atoms and distances in Å follow each position.
Element x y z (fractional)
Dy 0.5227 0.8944 0.6283  2 Pd 2.89, 3 Te 3.12-3.19
Dy 0.8851 0.7410 0.1441  2 Pd 2.94, 2 Te 3.16
Dy 0.2661 0.8944 0.3717  2 Pd 2.89, 3 Te 3.12-3.19
Dy 0.9192 0.1009 0.8183  2 Pd 2.86, 1 Te 3.18
Te 0.6414 0.1414 0.5000  7 Dy 3.12-3.23
Dy 0.9771 0.4771 0.5000  3 Te 3.22-3.23
Pd 0.1445 0.4067 0.7378  6 Dy 2.86-2.94
Pd 0.6688 0.4067 0.2622  6 Dy 2.86-2.94
Dy 0.5968 0.7410 0.8558  2 Pd 2.94, 2 Te 3.16
Te 0.2416 0.2416 0.0000  8 Dy 3.18-3.22
Dy 0.2826 0.1009 0.1817  2 Pd 2.86, 1 Te 3.18


DFT (PBE) results for crystalline DyTlTe3Pd at its relaxed geometry.

Summary:
* energy above the most stable polymorph in this dataset: 20 meV per atom
* raw total energy: -51.78 eV/cell
* space-group type: P2_1/m
* crystal system: monoclinic

abc: 8.9442 4.2125 10.9099
angles: 90.00 112.19 90.00
Closest atoms and distances in Å follow each position.
Element x y z (fractional)
Pd 0.0932 0.7500 0.6129  4 Te 2.67-2.69
Te 0.5603 0.7500 0.8516  3 Dy 3.03-3.10
Tl 0.7383 0.2500 0.7032  6 Te 3.40-3.50
Te 0.0545 0.7500 0.8460  1 Pd 2.69
Dy 0.3054 0.2500 0.8487  6 Te 3.03-3.18, 2 Pd 3.31
Pd 0.9068 0.2500 0.3871  4 Te 2.67-2.69
Dy 0.6946 0.7500 0.1513  6 Te 3.03-3.18, 2 Pd 3.31
Tl 0.2617 0.7500 0.2968  6 Te 3.40-3.50
Te 0.9455 0.2500 0.1540  1 Pd 2.69
Te 0.4397 0.2500 0.1484  3 Dy 3.03-3.10
Te 0.2228 0.2500 0.5389  3 Pd 2.67-2.68
Te 0.7772 0.7500 0.4611  3 Pd 2.67-2.68